Record 1
VASP calculation (PBE) on a relaxed Ho2ErMg3Tl2Zn crystal.

Geometry as extended XYZ:
```
9
Lattice="4.526 0.000 0.000 0.000 6.474 3.743 0.000 -6.474 3.743" Properties=species:S:1:pos:R:3 pbc="T T T"
Er 0.000 0.000 3.111
Ho 0.000 2.693 5.928
Ho 0.000 -2.693 5.928
Mg 2.263 1.527 0.883
Mg 2.263 -1.527 0.883
Mg 2.263 0.000 5.724
Tl 2.263 2.153 3.741
Tl 2.263 -2.153 3.741
Zn 0.000 0.000 0.007
```

**Total moment**: 0.00 μB per atom
**Space-group type**: Amm2, No. 38
**Electronic total energy**: -27.12 eV per cell


Record 2
VASP calculation (PBE) on a relaxed HoErMo crystal.

Geometry as extended XYZ:
```
3
Lattice="0.000 3.460 3.460 3.460 0.000 3.460 3.460 3.460 0.000" Properties=species:S:1:pos:R:3 pbc="T T T"
Er 0.000 0.000 0.000
Ho 1.730 1.730 1.730
Mo 5.190 5.190 5.190
```

**Energy relative to the elements**: 1.220 eV per atom
**Total moment**: 0.63 μB per atom
**Space-group type**: F-43m, No. 216


Record 3
VASP calculation (PBE) on a relaxed HoErNO crystal.

Geometry as extended XYZ:
```
8
Lattice="1.248 2.237 -2.974 3.256 2.032 2.894 4.526 -4.807 -1.716" Properties=species:S:1:pos:R:3 pbc="T T T"
Er 2.934 -0.709 0.698
Er 6.075 -1.300 1.571
Ho 4.424 2.234 0.947
Ho 5.833 -2.007 -1.652
N 4.581 0.287 2.138
N 4.429 -2.296 0.132
O 2.850 1.160 -0.522
O 7.405 -0.933 -0.185
```

**Total moment**: 0.00 μB per atom
**Space-group type**: Pmma, No. 51
**Electronic total energy**: -62.90 eV per cell


Record 4
VASP calculation (PBE) on a relaxed HoErNO crystal.

Geometry as extended XYZ:
```
16
Lattice="6.551 0.000 0.000 0.000 7.989 0.000 0.000 0.000 4.873" Properties=species:S:1:pos:R:3 pbc="T T T"
Er 0.548 2.984 0.246
Er 3.824 5.006 0.246
Er 2.727 2.984 2.683
Er 6.003 5.006 2.683
Ho 3.724 0.977 0.247
Ho 0.449 7.012 0.247
Ho 6.102 0.977 2.683
Ho 2.827 7.012 2.683
N 2.814 3.004 0.246
N 6.089 4.985 0.246
N 0.462 3.004 2.683
N 3.737 4.985 2.683
O 5.937 1.073 0.247
O 2.661 6.917 0.247
O 3.890 1.073 2.684
O 0.614 6.917 2.684
```

**Total moment**: 0.00 μB per atom
**Space-group type**: Pbcm, No. 57
**Electronic total energy**: -125.49 eV per cell


Record 5
VASP calculation (PBE) on a relaxed HoErNO crystal.

Geometry as extended XYZ:
```
8
Lattice="4.365 0.000 0.000 0.000 4.365 0.000 0.000 0.000 7.714" Properties=species:S:1:pos:R:3 pbc="T T T"
Er 0.000 0.000 3.857
Er 2.183 2.183 3.857
Ho 0.000 2.183 0.689
Ho 2.183 0.000 7.025
N 2.183 0.000 3.241
N 0.000 2.183 4.473
O 0.000 0.000 0.000
O 2.183 2.183 0.000
```

**Total moment**: 0.00 μB per atom
**Space-group type**: P4/nmm, No. 129
**Electronic total energy**: -59.52 eV per cell


Record 6
VASP calculation (PBE) on a relaxed HoErNO crystal.

Geometry as extended XYZ:
```
8
Lattice="-2.698 -0.802 3.876 1.394 -4.583 0.022 3.690 1.136 2.804" Properties=species:S:1:pos:R:3 pbc="T T T"
Er 0.701 -2.290 0.014
Er 2.337 0.733 4.739
Ho 1.845 0.568 1.402
Ho 1.193 -2.125 3.351
N 0.488 0.164 3.334
N 2.550 -1.721 1.419
O 0.000 0.000 0.000
O -0.652 -2.693 1.949
```

**Total moment**: 0.00 μB per atom
**Space-group type**: P4/nmm, No. 129
**Electronic total energy**: -63.72 eV per cell


Record 7
VASP calculation (PBE) on a relaxed HoErNO crystal.

Geometry as extended XYZ:
```
8
Lattice="-1.964 -3.403 0.000 0.000 0.000 4.815 -5.905 3.409 0.000" Properties=species:S:1:pos:R:3 pbc="T T T"
Er -1.960 -1.137 4.519
Er -5.910 1.144 2.112
Ho -1.967 1.135 2.112
Ho -3.938 2.274 4.519
N -1.974 1.140 4.521
N -3.931 2.269 2.114
O -1.994 -1.117 2.109
O -5.875 1.123 4.517
```

**Total moment**: 0.00 μB per atom
**Space-group type**: Pmma, No. 51
**Electronic total energy**: -62.84 eV per cell


Record 8
VASP calculation (PBE) on a relaxed HoEr3Pb2N2 crystal.

Geometry as extended XYZ:
```
8
Lattice="3.517 0.000 0.000 -1.758 3.045 0.000 0.000 0.000 15.450" Properties=species:S:1:pos:R:3 pbc="T T T"
Er 1.758 1.015 1.285
Er 1.758 1.015 6.442
Er 0.000 0.000 9.006
Ho 0.000 0.000 14.161
N 0.000 2.030 0.014
N 0.000 2.030 7.724
Pb 0.000 0.000 3.864
Pb 1.758 1.015 11.579
```

**Total moment**: 0.00 μB per atom
**Space-group type**: P3m1, No. 156
**Electronic total energy**: -51.23 eV per cell


Record 9
VASP calculation (PBE) on a relaxed HoErSnN crystal.

Geometry as extended XYZ:
```
8
Lattice="3.499 0.000 0.000 -1.750 3.031 0.000 0.000 0.000 15.262" Properties=species:S:1:pos:R:3 pbc="T T T"
Er 0.000 0.000 2.514
Er 0.000 0.000 12.748
Ho 1.750 1.010 5.116
Ho 1.750 1.010 10.146
N 0.000 2.020 3.800
N 0.000 2.020 11.463
Sn 1.750 1.010 0.000
Sn 0.000 0.000 7.631
```

**Total moment**: 0.00 μB per atom
**Space-group type**: P-6m2, No. 187
**Electronic total energy**: -52.48 eV per cell


Record 10
VASP calculation (PBE) on a relaxed HoErSnN crystal.

Geometry as extended XYZ:
```
8
Lattice="-0.273 0.702 -3.417 0.607 -3.276 1.070 -15.031 -2.565 0.674" Properties=species:S:1:pos:R:3 pbc="T T T"
Er -5.926 -3.015 -0.146
Er -8.771 -2.124 -1.527
Ho -0.973 -2.169 -0.368
Ho -13.724 -2.969 -1.305
N 0.000 0.000 0.000
N -7.515 -1.283 0.337
Sn -3.749 -1.267 -1.753
Sn -10.947 -3.872 0.079
```

**Total moment**: 0.00 μB per atom
**Space-group type**: P-3m1, No. 164
**Electronic total energy**: -52.48 eV per cell


Record 11
VASP calculation (PBE) on a relaxed HoEr3Sn2N2 crystal.

Geometry as extended XYZ:
```
8
Lattice="-2.718 0.666 -2.093 -0.541 -0.903 3.333 0.473 14.679 4.053" Properties=species:S:1:pos:R:3 pbc="T T T"
Er -1.070 5.713 3.206
Er -1.715 8.732 2.087
Er -1.559 13.569 3.423
Ho -1.226 0.875 1.870
N 0.237 7.341 2.027
N 0.473 14.665 4.049
Sn -1.874 3.822 0.731
Sn -0.912 10.627 4.563
```

**Total moment**: 0.00 μB per atom
**Space-group type**: P3m1, No. 156
**Electronic total energy**: -52.48 eV per cell


Record 12
VASP calculation (PBE) on a relaxed Ho3ErSn2N2 crystal.

Geometry as extended XYZ:
```
8
Lattice="3.504 0.000 0.000 -1.752 3.034 0.000 0.000 0.000 15.283" Properties=species:S:1:pos:R:3 pbc="T T T"
Er 0.000 0.000 13.984
Ho 1.752 1.011 1.301
Ho 1.752 1.011 6.338
Ho 0.000 0.000 8.949
N 0.000 2.023 7.643
N 0.000 2.023 15.269
Sn 0.000 0.000 3.818
Sn 1.752 1.011 11.472
```

**Total moment**: 0.00 μB per atom
**Space-group type**: P3m1, No. 156
**Electronic total energy**: -52.47 eV per cell